Computed, not measured: a geometry-optimized Ce2GaOs structure at the PBE-GGA level of DFT.

Computed properties:
**E**: -6.81 eV per atom

Cell: 3.646 3.646 6.662 Å, 90.00 90.00 90.00°
Fractional positions:
Os: 0.500 0.500 0.000
Ga: 0.500 0.500 0.500
Ce: 0.000 0.000 0.772
Ce: 0.000 0.000 0.228

Computed, not measured: a geometry-optimized Ba2SbAsPb structure at the PBE-GGA level of DFT.

Computed properties:
**Formation energy from raw total energies**: -0.767 eV per atom

Cell: 4.786 7.499 12.065 Å, 110.30 90.00 90.00°
Fractional positions:
Ba: 0.750 0.793 0.622
Ba: 0.750 0.755 0.979
Ba: 0.250 0.207 0.378
Ba: 0.250 0.245 0.021
Sb: 0.250 0.710 0.388
Sb: 0.750 0.290 0.612
As: 0.250 0.841 0.821
As: 0.750 0.159 0.179
Pb: 0.250 0.435 0.771
Pb: 0.750 0.565 0.229

Computed, not measured: a geometry-optimized NaZrAu2 structure at the PBE-GGA level of DFT.

Computed properties:
**E above lowest polymorph**: 0.462 eV/atom

Cell: 7.532 7.532 6.273 Å, 53.11 53.11 90.00°
Fractional positions:
Na: 0.500 0.500 0.000
Na: 0.250 0.750 0.500
Au: 0.640 0.125 0.250
Au: 0.110 0.625 0.250
Au: 0.375 0.360 0.750
Au: 0.875 0.890 0.750
Zr: 0.000 0.000 0.000
Zr: 0.750 0.250 0.500

Computed, not measured: a geometry-optimized K3NdNp2S6 structure at the PBE-GGA level of DFT.

Computed properties:
**Formation energy from raw total energies**: -1.538 eV per atom

Cell: 7.146 7.146 7.752 Å, 98.84 98.84 120.00°
Last column: magnetic moment on the atom in μB.
Fractional positions:
K: 0.165 0.835 0.500  0.00
K: 0.835 0.165 0.500  0.00
K: 0.500 0.500 0.500  0.00
Nd: 0.000 0.000 0.000  0.09
Np: 0.333 0.667 0.000  3.86
Np: 0.667 0.333 0.000  3.86
S: 0.932 0.590 0.796  -0.06
S: 0.726 0.726 0.204  -0.06
S: 0.068 0.410 0.204  -0.06
S: 0.590 0.932 0.796  -0.06
S: 0.274 0.274 0.796  -0.06
S: 0.410 0.068 0.204  -0.06

no.,N(E_F) (states/eV/f.u.)
1,5.8
2,0.6
3,4.2
4,21.3